No. 1
Entry from the Open Quantum Materials Database: La2CuSn4Pt after structural relaxation (GGA-PBE).

Values from the calculation:
Calculated volume, Å³ per cell: 202.2
Raw total energy, eV/f.u.: -41.2

POSCAR file:
```
La2CuSn4Pt
1.0
4.6905 0.0000 0.0000
0.0000 2.2674 9.5081
0.0000 -2.2674 9.5081
La Cu Sn Pt
2 1 4 1
Direct
0.0000 0.0000 0.0000
0.5000 0.2157 0.2157
0.0000 0.7809 0.7809
0.0000 0.3547 0.3547
0.0000 0.6479 0.6479
0.5000 0.5641 0.5641
0.5000 0.8515 0.8515
0.5000 0.4267 0.4267
```

No. 2
Entry from the Open Quantum Materials Database: LaCuSn2Pt after structural relaxation (GGA-PBE).

Values from the calculation:
Calculated volume, Å³ per cell: 225.5
Raw total energy, eV/f.u.: -26.0

POSCAR file:
```
LaCuSn2Pt
1.0
4.7072 0.0000 0.0000
0.0000 4.5899 0.0000
-0.3023 0.0000 10.4360
La Cu Sn Pt
2 2 4 2
Direct
0.2353 0.2500 0.2396
0.7647 0.7500 0.7604
0.2560 0.2500 0.6276
0.7440 0.7500 0.3724
0.2509 0.7500 0.4980
0.2929 0.2500 0.8719
0.7071 0.7500 0.1281
0.7491 0.2500 0.5020
0.1990 0.7500 0.0005
0.8010 0.2500 0.9995
```